The following is a DFT calculation (PBE) of a relaxed structure of Tb2EuIn.

Results
Size of the total moment, Bohr magnetons per cell: 7.6
Formation enthalpy at 0 K, eV per formula unit: -0.860
N(E_F), states/eV/atom: 1.053
Distance to the lowest polymorph of the same formula, eV/f.u.: 0.00

Cell: 4.8189 4.9842 4.9842 Å, 90.00 90.00 90.00°
Closest atoms and distances in Å follow each position.
Atoms (fractional coordinates):
1 Tb 0.0000 0.0000 0.5000  4 Eu 3.47, 4 In 3.47, 4 Tb 3.52
2 Tb 0.0000 0.5000 0.0000  4 In 3.47, 4 Eu 3.47, 4 Tb 3.52
3 Eu 0.5000 0.5000 0.5000  8 Tb 3.47, 4 In 3.52
4 In 0.5000 0.0000 0.0000  8 Tb 3.47, 4 Eu 3.52